Record 1
A plane-wave DFT calculation with PBE was carried out for AlBi2F after structural relaxation.

Properties
**V**: 86.7 Å³/cell
**SG**: No. 225
**Formation energy (no corrections)**: -0.539 eV/atom
**Distance to the lowest polymorph of the same formula**: 0 meV per atom
**Crystal system**: cubic

a b c (Å): 4.9689 4.9689 4.9689
angles (deg): 60.00 60.00 60.00
With the nearest neighbours (Å) after each atom.
Positions (direct):
1 Al 0.0000 0.0000 0.0000  8 Bi 3.04
2 Bi 0.2500 0.2500 0.2500  4 F 3.04, 4 Al 3.04
3 Bi 0.7500 0.7500 0.7500  4 F 3.04, 4 Al 3.04
4 F 0.5000 0.5000 0.5000  8 Bi 3.04

---

Record 2
A plane-wave DFT calculation with PBE was carried out for AlBi2F after structural relaxation.

Properties
**V**: 213.9 Å³/cell
**SG**: No. 122
**Formation energy (no corrections)**: -0.382 eV/atom
**Distance to the lowest polymorph of the same formula**: 157 meV per atom
**Crystal system**: tetragonal

a b c (Å): 9.0062 9.0062 9.0062
angles (deg): 147.17 147.17 47.11
With the nearest neighbours (Å) after each atom.
Positions (direct):
1 Al 0.0000 0.0000 0.0000  4 Bi 2.87
2 Al 0.7500 0.2500 0.5000  4 Bi 2.87
3 Bi 0.1753 0.6250 0.0503  2 F 2.63, 2 Al 2.87
4 Bi 0.3750 0.4253 0.5503  2 F 2.63, 2 Al 2.87
5 Bi 0.5747 0.1250 0.9497  2 F 2.63, 2 Al 2.87
6 Bi 0.8750 0.8247 0.4497  2 F 2.63, 2 Al 2.87
7 F 0.2500 0.7500 0.5000  4 Bi 2.63
8 F 0.5000 0.5000 0.0000  4 Bi 2.63

---

> Number 1 is which compound?

AlBi2F

---

> Which value of V does entry 2 give?

213.9 Å³/cell

---

Please write out number 2 again, unchanged.
A plane-wave DFT calculation with PBE was carried out for AlBi2F after structural relaxation.

Properties
**V**: 213.9 Å³/cell
**SG**: No. 122
**Formation energy (no corrections)**: -0.382 eV/atom
**Distance to the lowest polymorph of the same formula**: 157 meV per atom
**Crystal system**: tetragonal

a b c (Å): 9.0062 9.0062 9.0062
angles (deg): 147.17 147.17 47.11
With the nearest neighbours (Å) after each atom.
Positions (direct):
1 Al 0.0000 0.0000 0.0000  4 Bi 2.87
2 Al 0.7500 0.2500 0.5000  4 Bi 2.87
3 Bi 0.1753 0.6250 0.0503  2 F 2.63, 2 Al 2.87
4 Bi 0.3750 0.4253 0.5503  2 F 2.63, 2 Al 2.87
5 Bi 0.5747 0.1250 0.9497  2 F 2.63, 2 Al 2.87
6 Bi 0.8750 0.8247 0.4497  2 F 2.63, 2 Al 2.87
7 F 0.2500 0.7500 0.5000  4 Bi 2.63
8 F 0.5000 0.5000 0.0000  4 Bi 2.63